Entry 1:
This record from Alexandria describes a relaxed AlFe2H2 crystal. The functional is GGA-PBE.

Cell and atoms, written as CIF:
```
data_AlFe2H2
_chemical_formula_sum 'Al1 Fe2 H2'
_cell_length_a 2.7692
_cell_length_b 2.7692
_cell_length_c 6.3501
_cell_angle_alpha 90.00
_cell_angle_beta 90.00
_cell_angle_gamma 120.00
_symmetry_space_group_name_H-M 'P -3 m 1'
_symmetry_Int_Tables_number 164
_symmetry_space_group_name_Hall '-P 3 2"'
loop_
_atom_site_label
_atom_site_type_symbol
_atom_site_fract_x
_atom_site_fract_y
_atom_site_fract_z
Al1 Al 0.0000 0.0000 0.0000
Fe1 Fe 0.3333 0.6667 0.3191
H1 H 0.3333 0.6667 0.5977
```

Properties
- Crystal system: trigonal
- ΔE to the lowest computed polymorph: 0.055 eV per atom

Entry 2:
This record from Alexandria describes a relaxed Cs2Ca2OsO6 crystal. The functional is GGA-PBE.

Cell and atoms, written as CIF:
```
data_Cs2Ca2OsO6
_chemical_formula_sum 'Cs4 Ca4 Os2 O12'
_cell_length_a 5.937
_cell_length_b 10.070
_cell_length_c 7.140
_cell_angle_alpha 90.00
_cell_angle_beta 105.92
_cell_angle_gamma 90.00
_symmetry_space_group_name_H-M 'C 1 2/m 1'
_symmetry_Int_Tables_number 12
loop_
_symmetry_equiv_pos_as_xyz
'x,y,z'
'-x,-y,-z'
'-x,y,-z'
'x,-y,z'
'x+1/2,y+1/2,z'
'-x+1/2,-y+1/2,-z'
'-x+1/2,y+1/2,-z'
'x+1/2,-y+1/2,z'
loop_
_atom_site_label
_atom_site_type_symbol
_atom_site_fract_x
_atom_site_fract_y
_atom_site_fract_z
Cs1 Cs 0.000 0.169 0.000
Ca1 Ca 0.000 0.336 0.500
Os1 Os 0.000 0.000 0.500
O1 O 0.192 0.142 0.657
O2 O 0.226 0.000 0.341
```

Properties
- Crystal system: monoclinic
- Formation energy from raw total energies: -1856 meV/atom

Entry 3:
This record from Alexandria describes a relaxed BiAsOs2F crystal. The functional is GGA-PBE.

Cell and atoms, written as CIF:
```
data_BiAsOs2F
_chemical_formula_sum 'Bi1 As1 Os2 F1'
_cell_length_a 4.524
_cell_length_b 4.524
_cell_length_c 5.753
_cell_angle_alpha 90.00
_cell_angle_beta 90.00
_cell_angle_gamma 90.00
_symmetry_space_group_name_H-M 'P 4/m m m'
_symmetry_Int_Tables_number 123
_symmetry_space_group_name_Hall '-P 4 2'
loop_
_atom_site_label
_atom_site_type_symbol
_atom_site_fract_x
_atom_site_fract_y
_atom_site_fract_z
Bi1 Bi 0.000 0.000 0.000
As1 As 0.000 0.000 0.500
Os1 Os 0.000 0.500 0.500
F1 F 0.500 0.500 0.000
```

Properties
- Crystal system: tetragonal
- Formation energy from raw total energies: 1214 meV/atom

Entry 4:
This record from Alexandria describes a relaxed Er2MgGa2Pt5 crystal. The functional is GGA-PBE.

Cell and atoms, written as CIF:
```
data_Er2MgGa2Pt5
_chemical_formula_sum 'Er4 Mg2 Ga4 Pt10'
_cell_length_a 9.690
_cell_length_b 9.690
_cell_length_c 3.798
_cell_angle_alpha 90.00
_cell_angle_beta 90.00
_cell_angle_gamma 90.00
_symmetry_space_group_name_H-M 'P 4/m b m'
_symmetry_Int_Tables_number 127
_symmetry_space_group_name_Hall '-P 4 2ab'
loop_
_atom_site_label
_atom_site_type_symbol
_atom_site_fract_x
_atom_site_fract_y
_atom_site_fract_z
Er1 Er 0.174 0.326 0.000
Mg1 Mg 0.000 0.000 0.000
Ga1 Ga 0.125 0.625 0.000
Pt1 Pt 0.000 0.500 0.500
Pt2 Pt 0.066 0.794 0.500
```

Properties
- Crystal system: tetragonal

The records above give, respectively, VASP energy values of -27.652; -67.108; -26.793; -56.253 eV per formula unit.